# 1
Density functional theory data (PBE) for CsFeI3 after structural relaxation.

abc: 7.9966 7.9966 5.9648
angles: 90.00 90.00 90.00
Last column: nearest neighbours and their distance in Å.
Fractional coordinates of all 10 atoms:
Cs  0.5000  0.0000  0.0000  8 I 3.83-4.00
Cs  0.0000  0.5000  0.0000  8 I 3.83-4.00
I  0.0000  0.0000  0.0000  2 Fe 2.98
I  0.2869  0.7869  0.5000  2 Fe 2.86
I  0.5000  0.5000  0.0000  2 Fe 2.98
I  0.7869  0.7131  0.5000  2 Fe 2.86
I  0.2131  0.2869  0.5000  2 Fe 2.86
I  0.7131  0.2131  0.5000  2 Fe 2.86
Fe  0.5000  0.5000  0.5000  6 I 2.86-2.98
Fe  0.0000  0.0000  0.5000  6 I 2.86-2.98

Properties
The calculation puts the density at 4958 kg/m3. As for the volume: 38.14 Å³/atom. Its total DFT energy (no corrections) is -3.34 eV per atom. As for the space group: P4/mbm.

---

# 2
Density functional theory data (PBE) for Cs2KFeI6 after structural relaxation.

abc: 6.1708 6.1708 15.6335
angles: 90.00 90.00 90.00
Last column: nearest neighbours and their distance in Å.
Fractional coordinates of all 10 atoms:
Cs  0.5000  0.5000  0.7364  6 I 3.70-4.12
Cs  0.5000  0.5000  0.2636  6 I 3.70-4.12
I  0.5000  0.5000  0.5000  2 Cs 3.70
I  0.5000  0.5000  0.0000  8 I 3.67
I  0.0000  0.5000  0.1274  2 K 3.67, 3 I 3.67-3.98, 2 Cs 3.75
I  0.5000  0.0000  0.1274  2 K 3.67, 3 I 3.67-3.98, 2 Cs 3.75
I  0.5000  0.0000  0.8726  2 K 3.67, 3 I 3.67-3.98, 2 Cs 3.75
I  0.0000  0.5000  0.8726  2 K 3.67, 3 I 3.67-3.98, 2 Cs 3.75
Fe  0.0000  0.0000  0.5000  4 I 4.36
K  0.0000  0.0000  0.0000  8 I 3.67

Properties
The calculation puts the density at 3130 kg/m3. As for the volume: 59.53 Å³/atom. Its total DFT energy (no corrections) is -2.30 eV per atom. As for the space group: P4/mmm.

---

# 3
Density functional theory data (PBE) for Cs2LiFeI6 after structural relaxation.

abc: 8.2102 8.2102 8.2102
angles: 60.00 60.00 60.00
Last column: nearest neighbours and their distance in Å.
Fractional coordinates of all 10 atoms:
I  0.2419  0.7581  0.2419  1 Fe 2.81, 1 Li 3.00
I  0.7581  0.2419  0.2419  1 Fe 2.81, 1 Li 3.00
I  0.7581  0.7581  0.2419  1 Fe 2.81, 1 Li 3.00
I  0.2419  0.2419  0.7581  1 Fe 2.81, 1 Li 3.00
I  0.7581  0.2419  0.7581  1 Fe 2.81, 1 Li 3.00
I  0.2419  0.7581  0.7581  1 Fe 2.81, 1 Li 3.00
Fe  0.0000  0.0000  0.0000  6 I 2.81
Li  0.5000  0.5000  0.5000  6 I 3.00
Cs  0.2500  0.2500  0.2500  12 I 4.11
Cs  0.7500  0.7500  0.7500  12 I 4.11

Properties
The calculation puts the density at 4625 kg/m3. As for the volume: 39.13 Å³/atom. Its total DFT energy (no corrections) is -2.99 eV per atom. As for the space group: Fm-3m.

---

# 4
Density functional theory data (PBE) for CsFeIr after structural relaxation.

abc: 4.7498 4.7498 4.7498
angles: 60.00 60.00 60.00
Last column: nearest neighbours and their distance in Å.
Fractional coordinates of all 3 atoms:
Fe  0.7500  0.7500  0.7500  4 Ir 2.91
Ir  0.0000  0.0000  0.0000  4 Cs 2.91, 4 Fe 2.91
Cs  0.2500  0.2500  0.2500  4 Ir 2.91

Properties
The calculation puts the density at 8349 kg/m3. As for the volume: 25.26 Å³/atom. Its total DFT energy (no corrections) is -4.43 eV per atom. As for the space group: F-43m.

---

# 5
Density functional theory data (PBE) for CsFeP2Ir after structural relaxation.

abc: 7.7379 7.7379 7.7379
angles: 150.94 150.94 41.56
Last column: nearest neighbours and their distance in Å.
Fractional coordinates of all 5 atoms:
P  0.6661  0.6661  0.0000  2 Fe 2.29, 2 Ir 2.29
P  0.3339  0.3339  0.0000  2 Fe 2.29, 2 Ir 2.29
Cs  0.0000  0.0000  0.0000  8 P 3.65, 4 Cs 3.88
Ir  0.7500  0.2500  0.5000  4 P 2.29
Fe  0.2500  0.7500  0.5000  4 P 2.29

Properties
The calculation puts the density at 6745 kg/m3. As for the volume: 21.81 Å³/atom. Its total DFT energy (no corrections) is -6.36 eV per atom. As for the space group: I-4m2.

---

# 6
Density functional theory data (PBE) for CsLaFeS3 after structural relaxation.

abc: 9.6398 4.1499 9.7963
angles: 90.00 108.44 90.00
Last column: nearest neighbours and their distance in Å.
Fractional coordinates of all 12 atoms:
Cs  0.7076  0.2500  0.7391  7 S 3.53-3.78
Cs  0.2924  0.7500  0.2609  7 S 3.53-3.78
La  0.1675  0.2500  0.6539  6 S 2.85-2.95
La  0.8325  0.7500  0.3461  6 S 2.85-2.95
S  0.3258  0.2500  0.9660  3 Fe 2.32-2.43
S  0.0364  0.2500  0.3488  3 La 2.85
S  0.3829  0.7500  0.6656  1 Fe 2.28
S  0.6742  0.7500  0.0340  3 Fe 2.32-2.43
S  0.9636  0.7500  0.6512  3 La 2.85
S  0.6171  0.2500  0.3344  1 Fe 2.28
Fe  0.5742  0.2500  0.0921  4 S 2.28-2.43
Fe  0.4258  0.7500  0.9079  4 S 2.28-2.43

Properties
The calculation puts the density at 3786 kg/m3. As for the volume: 30.98 Å³/atom. Its total DFT energy (no corrections) is -5.77 eV per atom. As for the space group: P2_1/m.

---

# 7
Density functional theory data (PBE) for CsLaFeS3 after structural relaxation.

abc: 8.0310 8.0310 11.0636
angles: 90.00 90.00 150.00
Last column: nearest neighbours and their distance in Å.
Fractional coordinates of all 12 atoms:
Cs  0.7406  0.2594  0.7500  6 S 3.60-3.62
Cs  0.2594  0.7406  0.2500  6 S 3.60-3.62
La  0.0000  0.0000  0.5000  6 S 2.87
La  0.0000  0.0000  0.0000  6 S 2.87
S  0.0492  0.9508  0.7500  2 Fe 2.42
S  0.3856  0.6144  0.9211  1 Fe 2.30
S  0.6144  0.3856  0.0789  1 Fe 2.30
S  0.6144  0.3856  0.4211  1 Fe 2.30
S  0.3856  0.6144  0.5789  1 Fe 2.30
S  0.9508  0.0492  0.2500  2 Fe 2.42
Fe  0.4693  0.5307  0.7500  4 S 2.30-2.42
Fe  0.5307  0.4693  0.2500  4 S 2.30-2.42

Properties
The calculation puts the density at 3946 kg/m3. As for the volume: 29.73 Å³/atom. Its total DFT energy (no corrections) is -5.77 eV per atom. As for the space group: Cmcm.

---

# 8
Density functional theory data (PBE) for CsLiFeS2 after structural relaxation.

abc: 7.5571 7.5571 5.8524
angles: 90.00 90.00 135.94
Last column: nearest neighbours and their distance in Å.
Fractional coordinates of all 10 atoms:
S  0.0910  0.9090  0.2660  2 Fe 2.35, 2 Li 2.46
S  0.5910  0.4090  0.7340  2 Fe 2.35, 2 Li 2.46
S  0.4090  0.5910  0.2660  2 Fe 2.35, 2 Li 2.46
S  0.9090  0.0910  0.7340  2 Fe 2.35, 2 Li 2.46
Li  0.7500  0.7500  0.0000  4 S 2.46
Li  0.2500  0.2500  0.0000  4 S 2.46
Cs  0.2500  0.7500  0.7508  8 S 3.61-3.75
Cs  0.7500  0.2500  0.2492  8 S 3.61-3.75
Fe  0.7500  0.7500  0.5000  4 S 2.35
Fe  0.2500  0.2500  0.5000  4 S 2.35

Properties
The calculation puts the density at 3713 kg/m3. As for the volume: 23.24 Å³/atom. Its total DFT energy (no corrections) is -4.84 eV per atom. As for the space group: Cmme.